# Pm2ErZn2Ga2 (PBE, optimized geometry)
data_Pm2ErZn2Ga2
_cell_length_a 9.816
_cell_length_b 9.816
_cell_length_c 9.816
_cell_angle_alpha 26.14
_cell_angle_beta 26.14
_cell_angle_gamma 26.14
_symmetry_space_group_name_H-M 'P 1'
_symmetry_Int_Tables_number 1
_symmetry_space_group_name_Hall 'P 1'
loop_
_atom_site_label
_atom_site_type_symbol
_atom_site_fract_x
_atom_site_fract_y
_atom_site_fract_z
Pm1 Pm 0.124 0.124 0.124
Pm2 Pm 0.876 0.876 0.876
Er1 Er 0.000 0.000 0.000
Zn1 Zn 0.391 0.391 0.391
Zn2 Zn 0.609 0.609 0.609
Ga1 Ga 0.270 0.270 0.270
Ga2 Ga 0.730 0.730 0.730
# energy of formation	-273.2	kJ/mol of formula units
# Fermi-level density of states	3.8	states/eV/cell